Record 1
This record from Alexandria via LeMat-Bulk describes a geometry-optimized Tb5ScTe4 structure. The functional is PBE.

Cell lengths 9.309, 9.309, 8.437 Å; angles 101.67, 101.67, 25.47 degrees
Element x y z (fractional)
Tb  0.000  0.000  0.000
Tb  0.315  0.315  0.139
Tb  0.332  0.332  0.710
Tb  0.668  0.668  0.290
Tb  0.685  0.685  0.861
Sc  0.000  0.000  0.500
Te  0.163  0.163  0.566
Te  0.492  0.492  0.257
Te  0.508  0.508  0.743
Te  0.837  0.837  0.434

## Properties
uncorrected formation energy	-0.91	eV/atom

---

Record 2
This record from Alexandria via LeMat-Bulk describes a geometry-optimized TbSc3Te2 structure. The functional is PBE.

Cell lengths 7.855, 7.855, 11.546 Å; angles 116.34, 116.34, 29.64 degrees
Element x y z (fractional)
Tb  0.135  0.135  0.061
Tb  0.865  0.865  0.939
Sc  0.042  0.042  0.361
Sc  0.284  0.284  0.612
Sc  0.383  0.383  0.403
Sc  0.617  0.617  0.597
Sc  0.716  0.716  0.388
Sc  0.958  0.958  0.639
Te  0.192  0.192  0.813
Te  0.481  0.481  0.844
Te  0.519  0.519  0.156
Te  0.808  0.808  0.187

## Properties
uncorrected formation energy	-0.80	eV/atom

---

Record 3
This record from Alexandria via LeMat-Bulk describes a geometry-optimized Tb2ScTe4 structure. The functional is PBE.

Cell lengths 8.206, 8.206, 7.558 Å; angles 117.28, 117.28, 30.31 degrees
Element x y z (fractional)
Tb  0.243  0.243  0.230
Tb  0.757  0.757  0.770
Sc  0.500  0.500  0.500
Te  0.122  0.122  0.461
Te  0.386  0.386  0.061
Te  0.614  0.614  0.939
Te  0.878  0.878  0.539

## Properties
uncorrected formation energy	-1.34	eV/atom

---

E per entry: -51.174 -69.472 -37.542 eV/cell
DOS at the Fermi energy per entry: 0.796 0.774 0.498 states/eV per atom